{
  "formula": "MgV4P4O20",
  "functional": "PBE+U",
  "state": "relaxed",
  "de_polymorph_kj_per_mol_atoms": 10.3,
  "magnetic_moment_mub_per_cell": 4.0,
  "dft_energy_ev_per_atom": -7.246,
  "lattice": [[-5.2823, 0.1969, 0.6336], [2.4873, 6.5766, -2.6316], [1.0711, -0.1879, -10.3106]],
  "species": ["O", "V", "O", "O", "O", "O", "P", "V", "O", "O", "V", "O", "P", "O", "O", "P", "O", "O", "O", "O", "O", "O", "O", "O", "V", "Mg", "O", "O", "P"],
  "frac_coords": [[0.2939, 0.7350, 0.3981], [0.0312, 0.1067, 0.3961], [0.2037, 0.4592, 0.6231], [0.7827, 0.9587, 0.3175], [0.0754, 0.9397, 0.5878], [0.8969, 0.3019, 0.4072], [0.6559, 0.3283, 0.4517], [0.0535, 0.4993, 0.0299], [0.7352, 0.0188, 0.8712], [0.7142, 0.7800, 0.1265], [0.9801, 0.2833, 0.7744], [0.2104, 0.2702, 0.0925], [0.3962, 0.1956, 0.0424], [0.2052, 0.5690, 0.1765], [0.3471, 0.9685, 0.1230], [0.2858, 0.6861, 0.5556], [0.9448, 0.4428, 0.8392], [0.6946, 0.3081, 0.0684], [0.3832, 0.7076, 0.9190], [0.3987, 0.1973, 0.3882], [0.0177, 0.7398, 0.5730], [0.6648, 0.2382, 0.6157], [0.3039, 0.2149, 0.8838], [0.8797, 0.7135, 0.9414], [0.4878, 0.7600, 0.2550], [0.4274, 0.9556, 0.7231], [0.5225, 0.8092, 0.6248], [0.6493, 0.5431, 0.3975], [0.6831, 0.7960, 0.9721]]
}

***

{
  "formula": "Sr2VGaO",
  "functional": "PBE+U",
  "state": "relaxed",
  "magnetic_moment_mub_per_cell": 2.3,
  "dft_energy_ev_per_atom": -4.023,
  "lattice": [[-4.2986, -3.4178, 3.1911], [-0.0270, -2.5067, -2.7212], [4.6757, -3.1848, 2.8874]],
  "species": ["Sr", "Sr", "O", "Ga", "V"],
  "frac_coords": [[0.5000, 0.0000, 0.0000], [0.0000, 0.0000, 0.5000], [0.0000, 0.5000, 0.0000], [0.5000, 0.5000, 0.5000], [0.0000, 0.0000, 0.0000]]
}